[1]
Density functional theory data (PBE) for crystalline CrCoTe2N at its relaxed geometry.

Calculated density = 6.5 Mg/m³
Excess energy over the best structure of this formula in the dataset = 0.142 eV per atom
Final energy = -5.76 eV/atom

a b c (Å): 5.2836 5.2836 3.4911
angles (deg): 90.00 90.00 90.00
Closest atoms and distances in Å follow each position.
Space group P4/mmm (No. 123)
Symmetry-distinct sites (fractional):
Cr  0.0000  0.0000  0.0000 (multiplicity 1)  2 N 1.75
Co  0.5000  0.5000  0.5000 (multiplicity 1)  8 Te 3.17, 2 Co 3.49
Te  0.0000  0.5000  0.0000 (multiplicity 2)  2 Cr 2.64
N  0.0000  0.0000  0.5000 (multiplicity 1)  2 Cr 1.75


[2]
Density functional theory data (PBE) for crystalline VCrCoN2 at its relaxed geometry.

Calculated density = 5.2 Mg/m³
Final energy = -7.18 eV/atom

a b c (Å): 3.5747 3.5747 4.7531
angles (deg): 90.00 90.00 90.00
Closest atoms and distances in Å follow each position.
Space group P4/mmm (No. 123)
Symmetry-distinct sites (fractional):
V  0.0000  0.0000  0.0000 (multiplicity 1)  4 Cr 2.53
Cr  0.5000  0.5000  0.0000 (multiplicity 1)  2 Co 2.38, 4 V 2.53
Co  0.5000  0.5000  0.5000 (multiplicity 1)  4 N 1.79
N  0.0000  0.5000  0.5000 (multiplicity 2)  2 Co 1.79


[3]
Density functional theory data (PBE) for crystalline ZrCrCoN2 at its relaxed geometry.

Calculated density = 4.8 Mg/m³
Final energy = -6.78 eV/atom

a b c (Å): 4.0985 4.0985 4.7399
angles (deg): 90.00 90.00 90.00
Closest atoms and distances in Å follow each position.
Space group P4/mmm (No. 123)
Symmetry-distinct sites (fractional):
Zr  0.0000  0.0000  0.0000 (multiplicity 1)  4 N 2.05
Cr  0.5000  0.5000  0.5000 (multiplicity 1)  4 Co 2.90, 8 N 3.13
Co  0.0000  0.0000  0.5000 (multiplicity 1)  2 Zr 2.37
N  0.0000  0.5000  0.0000 (multiplicity 2)  2 Zr 2.05


[4]
Density functional theory data (PBE) for crystalline Na3CrCo at its relaxed geometry.

Calculated density = 1.9 Mg/m³
Excess energy over the best structure of this formula in the dataset = 0.000 eV per atom
Formation energy = 1.199 eV/atom
Final energy = -2.94 eV/atom

a b c (Å): 5.4182 5.4182 5.4182
angles (deg): 90.00 90.00 90.00
Closest atoms and distances in Å follow each position.
Space group Pm-3m (No. 221)
Symmetry-distinct sites (fractional):
Na  0.0000  0.0000  0.5000 (multiplicity 3)  2 Co 2.71
Cr  0.5000  0.5000  0.5000 (multiplicity 1)  12 Na 3.83
Co  0.0000  0.0000  0.0000 (multiplicity 1)  6 Na 2.71


[5]
Density functional theory data (PBE) for crystalline NaCr2Co at its relaxed geometry.

Calculated density = 5.3 Mg/m³
Excess energy over the best structure of this formula in the dataset = 0.149 eV per atom
Formation energy = 1.185 eV/atom
Final energy = -5.73 eV/atom

a b c (Å): 6.8068 6.8068 5.0660
angles (deg): 90.00 90.00 90.00
Closest atoms and distances in Å follow each position.
Space group I-42d (No. 122)
Symmetry-distinct sites (fractional):
Na  0.0000  0.0000  0.0000 (multiplicity 4)  2 Co 2.53, 4 Cr 2.80
Cr  0.1876  0.2500  0.6250 (multiplicity 8)  2 Co 2.22
Co  0.0000  0.0000  0.5000 (multiplicity 4)  4 Cr 2.22


[6]
Density functional theory data (PBE) for crystalline NaCr2Co at its relaxed geometry.

Calculated density = 5.3 Mg/m³
Excess energy over the best structure of this formula in the dataset = 0.000 eV per atom
Formation energy = 1.036 eV/atom
Final energy = -5.88 eV/atom

a b c (Å): 6.1430 6.1430 6.1430
angles (deg): 90.00 90.00 90.00
Closest atoms and distances in Å follow each position.
Space group Fm-3m (No. 225)
Symmetry-distinct sites (fractional):
Na  0.0000  0.0000  0.0000 (multiplicity 4)  8 Cr 2.66
Cr  0.2500  0.2500  0.2500 (multiplicity 8)  4 Na 2.66, 4 Co 2.66
Co  0.0000  0.0000  0.5000 (multiplicity 4)  8 Cr 2.66


no.,D(E_F) (states/eV/cell)
1,5.341
2,5.288
3,11.639
4,15.254
5,16.982
6,13.038